[1]
Below is a relaxed structure of Rb2TeCl, with properties calculated at the PBE level.

```
Rb2TeCl
1.0
-1.619 6.331 -6.216
5.140 -4.481 -5.903
-2.219 -1.607 -7.602
Te Rb Cl
2 4 2
Cartesian
0.000 0.000 0.000
-1.039 2.824 -9.939
-0.851 2.708 -6.242
2.382 -2.125 -6.648
-0.111 -0.715 -10.513
1.183 0.616 -16.038
1.760 0.925 -6.060
2.340 -2.582 -9.782
```

Output
ΔE_f (raw): -4.36 eV per formula unit
electronic total energy: -2.820 eV per atom
DOS(E_F): 10.62 states/eV per cell
density: 2.7 g/cm3
excess energy over the best structure of this formula in the dataset: 0.705 eV/f.u.

=====

[2]
Below is a relaxed structure of Rb2TeCl5, with properties calculated at the PBE level.

```
Rb2TeCl5
1.0
6.146 0.000 0.000
-3.073 7.735 0.000
0.000 0.000 14.210
Rb Te Cl
4 2 10
Cartesian
3.073 5.301 5.935
3.073 5.301 1.170
0.000 2.434 8.275
0.000 2.434 13.039
3.073 5.082 10.657
0.000 2.653 3.552
3.073 6.881 12.436
3.073 6.881 8.879
0.000 4.457 5.492
0.000 4.457 1.612
3.073 2.911 3.552
0.000 4.824 10.657
3.073 3.278 8.717
3.073 3.278 12.597
0.000 0.854 1.774
0.000 0.854 5.331
```

Output
ΔE_f (raw): -9.95 eV per formula unit
electronic total energy: -3.032 eV per atom
DOS(E_F): 3.04 states/eV per cell
density: 2.3 g/cm3
excess energy over the best structure of this formula in the dataset: 0.000 eV/f.u.

=====

[3]
Below is a relaxed structure of RbTe2Cl, with properties calculated at the PBE level.

```
RbTe2Cl
1.0
-0.188 3.575 2.483
0.411 -2.460 3.573
17.755 2.141 2.087
Te Rb Cl
4 2 2
Cartesian
4.372 2.464 2.521
4.672 -0.556 3.065
13.399 2.025 3.836
13.511 2.582 6.866
0.000 0.000 0.000
8.839 3.137 3.799
0.111 0.558 3.028
9.139 0.120 4.344
```

Output
ΔE_f (raw): -3.18 eV per formula unit
electronic total energy: -3.068 eV per atom
DOS(E_F): 3.16 states/eV per cell
density: 3.7 g/cm3
excess energy over the best structure of this formula in the dataset: 0.000 eV/f.u.

=====

[4]
Below is a relaxed structure of RbTeCl2, with properties calculated at the PBE level.

```
RbTeCl2
1.0
0.000 3.993 3.993
3.993 0.000 3.993
3.993 3.993 0.000
Te Rb Cl
1 1 2
Cartesian
3.993 3.993 3.993
0.000 0.000 0.000
1.997 1.997 1.997
5.990 5.990 5.990
```

Output
ΔE_f (raw): -2.44 eV per formula unit
electronic total energy: -2.561 eV per atom
DOS(E_F): 0.00 states/eV per cell
density: 3.7 g/cm3
excess energy over the best structure of this formula in the dataset: 1.268 eV/f.u.

=====

[5]
Below is a relaxed structure of RbTe2Cl, with properties calculated at the PBE level.

```
RbTe2Cl
1.0
2.235 0.000 10.917
-1.118 1.936 10.917
-1.118 -1.936 10.917
Te Rb Cl
2 1 1
Cartesian
0.000 0.000 30.130
0.000 0.000 2.621
0.000 0.000 16.375
0.000 0.000 0.000
```

Output
ΔE_f (raw): -0.19 eV per formula unit
electronic total energy: -2.322 eV per atom
DOS(E_F): 2.92 states/eV per cell
density: 4.4 g/cm3
excess energy over the best structure of this formula in the dataset: 2.987 eV/f.u.

=====

[6]
Below is a relaxed structure of RbThTe2Cl, with properties calculated at the PBE level.

```
RbThTe2Cl
1.0
4.583 0.000 0.000
0.000 9.482 0.662
0.000 -3.392 9.556
Rb Th Te Cl
2 2 4 2
Cartesian
1.146 5.854 3.492
3.437 0.237 6.726
1.146 5.049 8.423
3.437 1.042 1.794
3.437 5.972 6.562
3.437 7.694 0.966
1.146 0.118 3.656
1.146 -1.604 9.252
1.146 2.506 7.590
3.437 3.584 2.628
```

Output
ΔE_f (raw): -7.51 eV per formula unit
electronic total energy: -4.806 eV per atom
DOS(E_F): 0.00 states/eV per cell
density: 4.7 g/cm3

=====

[7]
Below is a relaxed structure of RbTl2TeCl, with properties calculated at the PBE level.

```
RbTl2TeCl
1.0
4.733 0.000 0.000
0.000 10.167 0.559
0.000 -1.182 8.167
Rb Tl Te Cl
2 4 2 2
Cartesian
3.550 3.130 0.348
1.183 5.855 8.379
1.183 6.444 4.315
1.183 0.344 2.526
3.550 8.641 6.201
3.550 2.541 4.412
3.550 8.344 2.878
1.183 0.641 5.849
3.550 4.580 6.569
1.183 4.405 2.158
```

Output
ΔE_f (raw): -4.31 eV per formula unit
electronic total energy: -3.000 eV per atom
density: 5.5 g/cm3

=====

[8]
Below is a relaxed structure of Rb2TlTeCl6, with properties calculated at the PBE level.

```
Rb2TlTeCl6
1.0
7.876 0.000 0.000
0.000 7.876 0.000
3.938 3.938 5.988
Tl Te Rb Cl
1 1 2 6
Cartesian
0.000 0.000 0.000
3.938 3.938 0.000
7.876 3.938 2.994
3.938 7.876 2.994
3.938 3.938 3.082
7.876 7.876 2.905
2.120 2.120 0.000
5.756 5.756 0.000
5.756 2.120 0.000
2.120 5.756 0.000
```

Output
ΔE_f (raw): -11.32 eV per formula unit
electronic total energy: -2.984 eV per atom
DOS(E_F): 4.48 states/eV per cell
density: 3.2 g/cm3
excess energy over the best structure of this formula in the dataset: 0.348 eV/f.u.

=====

[9]
Below is a relaxed structure of Rb2TlTeCl6, with properties calculated at the PBE level.

```
Rb2TlTeCl6
1.0
-5.282 0.421 -6.343
-2.705 -6.688 -3.615
-7.940 -1.724 0.151
Rb Tl Te Cl
2 1 1 6
Cartesian
-6.858 -3.845 -5.449
-6.961 -2.025 -0.674
-10.897 -6.066 -8.044
-2.933 -2.069 -3.141
-5.776 -1.034 -3.983
-2.792 -0.304 -1.253
-9.223 -3.376 -7.878
-11.008 -5.557 -4.877
-9.866 -2.066 -4.598
-8.031 -4.832 -2.150
```

Output
ΔE_f (raw): -11.67 eV per formula unit
electronic total energy: -3.019 eV per atom
DOS(E_F): 3.27 states/eV per cell
density: 3.3 g/cm3
excess energy over the best structure of this formula in the dataset: 0.000 eV/f.u.

=====

[10]
Below is a relaxed structure of Rb2Tl3Te2Cl2, with properties calculated at the PBE level.

```
Rb2Tl3Te2Cl2
1.0
5.984 0.000 0.000
0.000 5.984 0.000
-2.992 -2.992 9.774
Rb Tl Te Cl
2 3 2 2
Cartesian
2.992 2.992 1.891
0.000 0.000 7.884
0.000 0.000 0.000
0.000 2.992 4.887
2.992 0.000 4.887
0.000 0.000 3.679
2.992 2.992 6.095
2.992 0.000 0.000
0.000 2.992 0.000
```

Output
ΔE_f (raw): -7.89 eV per formula unit
electronic total energy: -2.989 eV per atom
DOS(E_F): 3.28 states/eV per cell
density: 5.3 g/cm3

=====

[11]
Below is a relaxed structure of RbTlTe2Cl, with properties calculated at the PBE level.

```
RbTlTe2Cl
1.0
5.806 0.000 0.000
0.000 5.772 0.000
0.000 0.000 5.806
Tl Te Rb Cl
1 2 1 1
Cartesian
2.903 2.886 2.903
0.000 0.000 2.903
2.903 0.000 0.000
0.000 2.886 0.000
0.000 0.000 0.000
```

Output
ΔE_f (raw): -1.23 eV per formula unit
electronic total energy: -2.539 eV per atom
DOS(E_F): 3.18 states/eV per cell
density: 5.0 g/cm3

=====

[12]
Below is a relaxed structure of RbVTeCl6, with properties calculated at the PBE level.

```
RbVTeCl6
1.0
7.110 0.002 0.001
3.556 6.155 0.000
0.001 -0.001 6.833
Rb V Te Cl
1 1 1 6
Cartesian
7.110 0.001 6.834
7.111 4.104 3.417
3.556 2.052 3.417
8.189 2.407 2.086
6.180 5.887 4.747
6.032 2.407 4.747
9.121 4.018 4.747
5.101 4.018 2.087
8.042 5.888 2.087
```

Output
ΔE_f (raw): -9.09 eV per formula unit
electronic total energy: -3.710 eV per atom
DOS(E_F): 1.23 states/eV per cell
density: 2.6 g/cm3

=====

[13]
Below is a relaxed structure of Rb2ThCl5, with properties calculated at the PBE level.

```
Rb2ThCl5
1.0
3.932 0.000 0.000
0.000 9.737 0.000
0.000 0.000 13.779
Rb Th Cl
4 2 10
Cartesian
1.966 5.295 2.350
1.966 4.442 11.429
1.966 9.311 9.240
1.966 0.426 4.540
0.000 4.869 6.890
0.000 0.000 0.000
0.000 0.000 6.890
0.000 4.869 0.000
0.000 8.284 2.305
0.000 1.453 11.474
0.000 6.322 9.194
0.000 3.416 4.585
1.966 6.509 5.635
1.966 3.228 8.144
1.966 8.096 12.525
1.966 1.641 1.255
```

Output
ΔE_f (raw): -15.38 eV per formula unit
electronic total energy: -4.245 eV per atom
DOS(E_F): 3.03 states/eV per cell
density: 3.7 g/cm3

=====

[14]
Below is a relaxed structure of Rb2ThCl8, with properties calculated at the PBE level.

```
Rb2ThCl8
1.0
7.539 0.985 2.754
3.562 7.930 2.128
2.094 0.931 8.651
Rb Th Cl
2 1 8
Cartesian
2.294 2.531 3.232
10.901 7.314 10.300
0.000 0.000 0.000
8.663 2.396 8.935
3.630 3.147 8.608
5.530 2.429 3.851
7.665 7.416 9.682
9.566 6.698 4.924
4.532 7.450 4.598
6.343 4.272 6.011
6.853 5.573 7.522
```

Output
ΔE_f (raw): -19.16 eV per formula unit
electronic total energy: -3.936 eV per atom
DOS(E_F): 0.00 states/eV per cell
density: 2.6 g/cm3

=====

[15]
Below is a relaxed structure of Rb6ThCl12, with properties calculated at the PBE level.

```
Rb6ThCl12
1.0
-7.466 -1.366 5.282
5.461 -6.492 3.679
3.460 7.343 4.429
Rb Th Cl
6 1 12
Cartesian
2.485 2.509 4.647
-0.390 2.717 8.894
4.234 -0.690 8.260
-1.030 -3.024 8.743
1.845 -3.233 4.496
-2.779 0.175 5.130
0.000 0.000 0.000
-0.691 2.671 5.555
3.692 -0.529 4.955
-1.272 -2.755 5.409
2.146 -3.187 7.835
-2.237 0.013 8.435
2.727 2.240 7.981
7.439 -0.919 6.708
3.392 -6.318 5.405
4.528 5.229 5.726
-5.984 0.403 6.682
-1.937 5.802 7.985
-3.073 -5.744 7.664
```

Output
ΔE_f (raw): -33.34 eV per formula unit
electronic total energy: -3.617 eV per atom
DOS(E_F): 8.17 states/eV per cell
density: 2.5 g/cm3

=====

[16]
Below is a relaxed structure of Rb3ThCl8, with properties calculated at the PBE level.

```
Rb3ThCl8
1.0
8.262 0.000 0.000
-4.131 6.415 4.131
0.000 0.000 8.262
Rb Th Cl
3 1 8
Cartesian
4.131 3.208 8.262
0.000 3.208 4.131
4.131 0.000 4.131
0.000 0.000 0.000
1.121 2.369 9.383
-1.121 2.369 7.141
3.010 4.046 5.252
5.252 4.046 3.010
2.235 5.697 10.497
-2.235 5.697 6.027
1.896 0.718 6.366
6.366 0.718 1.896
```

Output
ΔE_f (raw): -22.15 eV per formula unit
electronic total energy: -3.937 eV per atom
DOS(E_F): 7.24 states/eV per cell
density: 2.9 g/cm3

=====

[17]
Below is a relaxed structure of Rb2ThCl6, with properties calculated at the PBE level.

```
Rb2ThCl6
1.0
7.817 0.000 -0.826
0.000 8.507 0.000
-0.211 0.000 10.955
Rb Th Cl
4 2 12
Cartesian
7.297 3.537 7.561
4.113 7.790 7.634
3.494 0.717 2.496
0.310 4.970 2.569
3.909 4.253 -0.413
-0.105 0.000 5.478
6.611 7.959 2.260
6.544 6.291 5.661
5.882 5.667 9.802
5.528 1.414 5.392
4.867 2.038 9.533
5.010 3.705 1.979
0.996 0.548 7.869
1.063 2.215 4.468
1.725 2.840 0.327
2.078 7.093 4.738
2.740 6.468 0.597
2.597 4.801 8.151
```

Output
ΔE_f (raw): -19.28 eV per formula unit
electronic total energy: -4.412 eV per atom
DOS(E_F): 0.00 states/eV per cell
density: 2.8 g/cm3

=====

[18]
Below is a relaxed structure of RbThTlCl6, with properties calculated at the PBE level.

```
RbThTlCl6
1.0
8.019 0.000 0.000
-4.009 6.944 0.000
0.000 0.000 12.492
Rb Th Tl Cl
2 2 2 12
Cartesian
0.000 4.630 3.123
4.009 2.315 9.369
4.009 2.315 3.123
0.000 4.630 9.369
0.000 0.000 0.000
0.000 0.000 6.246
2.932 4.266 1.599
6.238 2.272 1.599
-1.151 6.539 7.845
-2.229 4.672 10.894
1.781 2.272 4.648
5.087 4.266 4.648
1.151 6.539 10.894
5.160 0.406 4.648
-1.078 2.678 7.845
2.858 0.406 1.599
2.229 4.672 7.845
1.078 2.678 10.894
```

Output
ΔE_f (raw): -17.21 eV per formula unit
electronic total energy: -4.338 eV per atom
DOS(E_F): 0.00 states/eV per cell
density: 3.5 g/cm3

=====

[19]
Below is a relaxed structure of RbThTl2Cl8, with properties calculated at the PBE level.

```
RbThTl2Cl8
1.0
-5.747 -1.766 3.693
-3.265 -1.361 -5.818
3.002 -8.932 0.403
Rb Th Tl Cl
1 1 2 8
Cartesian
1.501 -4.466 0.202
0.000 0.000 0.000
-2.282 -8.178 -0.764
-3.727 -3.881 -0.958
-2.796 -3.176 -3.877
-3.461 -11.190 -1.461
-4.973 -3.645 1.919
-3.213 -8.883 2.155
-2.549 -0.869 -0.261
-1.037 -8.414 -3.641
-4.473 -6.557 -1.604
-1.537 -5.502 -0.118
```

Output
ΔE_f (raw): -18.73 eV per formula unit
electronic total energy: -3.885 eV per atom
DOS(E_F): 5.46 states/eV per cell
density: 3.7 g/cm3

=====

[20]
Below is a relaxed structure of Rb3TiCl8, with properties calculated at the PBE level.

```
Rb3TiCl8
1.0
-5.867 -1.979 3.936
3.948 0.546 6.160
-0.956 7.620 -4.432
Rb Ti Cl
3 1 8
Cartesian
-3.891 2.462 2.276
-0.959 -0.716 5.048
1.016 3.725 3.388
0.000 0.000 0.000
-0.793 1.148 2.196
1.538 1.471 5.833
1.382 6.207 1.144
-0.949 5.885 -2.494
-1.926 0.302 8.157
-4.257 -0.020 4.520
-4.414 4.716 -0.170
-2.082 5.039 3.468
```

Output
ΔE_f (raw): -16.30 eV per formula unit
electronic total energy: -3.489 eV per atom
DOS(E_F): 12.97 states/eV per cell
density: 2.5 g/cm3

=====

[21]
Below is a relaxed structure of RbTiCl2, with properties calculated at the PBE level.

```
RbTiCl2
1.0
-5.041 2.346 -2.919
-3.401 -4.918 1.919
-5.917 2.089 5.143
Cl Rb Ti
4 2 2
Cartesian
-4.501 1.116 0.022
-4.789 -2.000 1.799
-7.978 0.061 3.693
-11.450 -0.143 2.771
0.000 0.000 0.000
-7.590 1.575 0.862
-4.221 -1.286 -0.500
-6.769 -2.058 3.281
```

Output
ΔE_f (raw): -3.73 eV per formula unit
electronic total energy: -4.071 eV per atom
DOS(E_F): 9.12 states/eV per cell
density: 2.5 g/cm3
excess energy over the best structure of this formula in the dataset: 0.000 eV/f.u.